Entry 1:
TaCoSiNi after structural relaxation, computed with PBE-GGA.

calculated volume = 12.8 A^3/atom
total magnetization = 0.2 μB per formula unit
electronic total energy = -7.707 eV per atom

abc: 4.1631 4.1631 4.1631
angles: 60.00 60.00 60.00
Fractional positions:
Co 0.7500 0.7500 0.7500
Ni 0.5000 0.5000 0.5000
Si 0.0000 0.0000 0.0000
Ta 0.2500 0.2500 0.2500


Entry 2:
TaCoSiNi after structural relaxation, computed with PBE-GGA.

calculated volume = 12.8 A^3/atom
total magnetization = 0.1 μB per formula unit
electronic total energy = -7.698 eV per atom

abc: 4.1721 4.1721 4.1721
angles: 60.00 60.00 60.00
Fractional positions:
Co 0.5000 0.5000 0.5000
Ni 0.7500 0.7500 0.7500
Si 0.0000 0.0000 0.0000
Ta 0.2500 0.2500 0.2500


Entry 3:
TaCoSiNi after structural relaxation, computed with PBE-GGA.

calculated volume = 12.6 A^3/atom
total magnetization = 0.1 μB per formula unit
electronic total energy = -7.857 eV per atom

abc: 4.1502 4.1502 4.1502
angles: 60.00 60.00 60.00
Fractional positions:
Co 0.7500 0.7500 0.7500
Ni 0.2500 0.2500 0.2500
Si 0.0000 0.0000 0.0000
Ta 0.5000 0.5000 0.5000


Entry 4:
Tb2CoSi4Ni after structural relaxation, computed with PBE-GGA.

calculated volume = 16.3 A^3/atom
total magnetization = 0.0 μB per formula unit
electronic total energy = -6.274 eV per atom

abc: 3.9925 8.3735 8.3735
angles: 27.80 90.00 90.00
Fractional positions:
Co 0.5000 0.6801 0.6801
Ni 0.0000 0.3220 0.3220
Si 0.5000 0.2486 0.2486
Si 0.0000 0.4601 0.4601
Si 0.5000 0.5428 0.5428
Si 0.0000 0.7481 0.7481
Tb 0.0000 0.1062 0.1062
Tb 0.5000 0.8921 0.8921


Entry 5:
TbCoSi2Ni after structural relaxation, computed with PBE-GGA.

calculated volume = 14.9 A^3/atom
total magnetization = 0.9 μB per formula unit
electronic total energy = -6.450 eV per atom

abc: 5.5653 5.5653 5.5653
angles: 138.65 138.65 59.91
Fractional positions:
Co 0.5000 0.5000 0.0000
Ni 0.0000 0.0000 0.0000
Si 0.6231 0.1231 0.5000
Si 0.8769 0.3769 0.5000
Tb 0.2500 0.7500 0.5000


Entry 6:
Tm2CoSi4Ni after structural relaxation, computed with PBE-GGA.

calculated volume = 15.8 A^3/atom
total magnetization = 0.0 μB per formula unit
electronic total energy = -6.212 eV per atom

abc: 3.9350 8.3956 8.3956
angles: 27.18 90.00 90.00
Fractional positions:
Co 0.5000 0.8220 0.8220
Ni 0.0000 0.1757 0.1757
Si 0.0000 0.0396 0.0396
Si 0.5000 0.2511 0.2511
Si 0.0000 0.7522 0.7522
Si 0.5000 0.9574 0.9574
Tm 0.0000 0.3936 0.3936
Tm 0.5000 0.6085 0.6085